BeNbTl2Ni | PBE-GGA | relaxed

Cell lengths 4.776, 3.986, 4.776 Å; angles 90.00, 90.00, 90.00 degrees
Sites, in units of the cell vectors:
Ni 0.000 0.500 0.000
Tl 0.500 0.000 0.000
Tl 0.000 0.000 0.500
Be 0.000 0.000 0.000
Nb 0.500 0.500 0.500

Summary:
**ΔE_f**: 0.798 eV per atom
**Electronic total energy**: -4.06 eV per atom
**N(E_F)**: 0.521 states/eV/atom
**Spin magnetization**: 0.0 Bohr magnetons per cell

---

AlCr3Cd | PBE-GGA | relaxed

Cell lengths 5.034, 5.034, 5.034 Å; angles 90.00, 90.00, 90.00 degrees
Site moments in Bohr magnetons follow the coordinates.
Sites, in units of the cell vectors:
Cr 0.000 0.500 0.000  3.85
Cr 0.000 0.000 0.500  3.94
Cr 0.500 0.000 0.000  3.70
Al 0.500 0.500 0.500  -0.06
Cd 0.000 0.000 0.000  0.07

Summary:
**ΔE_f**: 1.637 eV per atom
**Electronic total energy**: -5.07 eV per atom
**N(E_F)**: 1.288 states/eV/atom
**Relative energy among the computed polymorphs**: 439 meV per atom
**Spin magnetization**: 12.8 Bohr magnetons per cell

---

Na3YPa2N6 | PBE-GGA | relaxed

Cell lengths 6.200, 6.200, 6.012 Å; angles 98.66, 98.66, 121.91 degrees
Sites, in units of the cell vectors:
Y 0.000 0.000 0.000
Na 0.500 0.500 0.500
Na 0.165 0.835 0.500
Na 0.835 0.165 0.500
Pa 0.664 0.336 0.000
Pa 0.336 0.664 0.000
N 0.420 0.078 0.191
N 0.282 0.282 0.806
N 0.922 0.580 0.809
N 0.580 0.922 0.809
N 0.718 0.718 0.194
N 0.078 0.420 0.191

Summary:
**E_form (uncorrected)**: -21.81 kcal/mol of atoms
**Electronic total energy**: -7.56 eV per atom
**N(E_F)**: 0.940 states/eV/atom
**Spin magnetization**: 0.0 Bohr magnetons per cell

---

Tb8P4Se3 | PBE-GGA | relaxed

Cell lengths 8.062, 8.071, 8.071 Å; angles 90.12, 119.86, 119.86 degrees
Sites, in units of the cell vectors:
P 0.000 0.000 0.500
P 0.000 0.000 0.000
P 0.000 0.500 0.000
P 0.500 0.000 0.000
Tb 0.000 0.244 0.756
Tb 0.515 0.764 0.764
Tb 0.485 0.236 0.236
Tb 0.011 0.758 0.758
Tb 0.989 0.242 0.242
Tb 0.000 0.756 0.244
Tb 0.500 0.243 0.757
Tb 0.500 0.757 0.243
Se 0.500 0.500 0.000
Se 0.500 0.500 0.500
Se 0.500 0.000 0.500

Summary:
**E_form (uncorrected)**: -37.30 kcal/mol of atoms
**Electronic total energy**: -6.23 eV per atom
**N(E_F)**: 0.397 states/eV/atom
**Spin magnetization**: 0.0 Bohr magnetons per cell

---

BaCrP4 | PBE-GGA | relaxed

Cell lengths 5.620, 5.620, 5.620 Å; angles 60.00, 60.00, 60.00 degrees
Site moments in Bohr magnetons follow the coordinates.
Sites, in units of the cell vectors:
Cr 0.000 0.000 0.000  4.10
P 0.355 0.355 0.355  -0.02
P 0.355 0.355 0.934  -0.02
P 0.934 0.355 0.355  -0.02
P 0.355 0.934 0.355  -0.02
Ba 0.750 0.750 0.750  0.03

Summary:
**ΔE_f**: 0.230 eV per atom
**Electronic total energy**: -5.30 eV per atom
**N(E_F)**: 0.412 states/eV/atom
**Spin magnetization**: 4.6 Bohr magnetons per cell

---

HoMnTc | PBE-GGA | relaxed

Cell lengths 5.400, 5.320, 5.320 Å; angles 57.79, 59.50, 59.50 degrees
Site moments in Bohr magnetons follow the coordinates.
Sites, in units of the cell vectors:
Mn 0.500 0.000 0.000  2.31
Mn 0.000 0.000 0.000  2.31
Ho 0.873 0.377 0.377  -0.21
Ho 0.127 0.623 0.623  -0.21
Tc 0.500 0.000 0.500  -0.14
Tc 0.500 0.500 0.000  -0.14

Summary:
**ΔE_f**: -0.088 eV per atom
**Electronic total energy**: -8.13 eV per atom
**N(E_F)**: 1.144 states/eV/atom
**Relative energy among the computed polymorphs**: 0 meV per atom
**Spin magnetization**: 4.0 Bohr magnetons per cell

---

Rb4AsF | PBE-GGA | relaxed

Cell lengths 8.615, 9.686, 8.361 Å; angles 110.88, 105.35, 115.62 degrees
Sites, in units of the cell vectors:
F 0.223 0.973 0.947
F 0.777 0.027 0.053
Rb 0.104 0.618 0.865
Rb 0.435 0.940 0.700
Rb 0.565 0.060 0.300
Rb 0.235 0.240 0.300
Rb 0.739 0.753 0.135
Rb 0.765 0.760 0.700
Rb 0.896 0.382 0.135
Rb 0.261 0.247 0.865
As 0.387 0.637 0.275
As 0.613 0.363 0.725

Summary:
**E_form (uncorrected)**: -23.29 kcal/mol of atoms
**Electronic total energy**: -2.74 eV per atom
**N(E_F)**: 0.600 states/eV/atom
**Relative energy among the computed polymorphs**: 0 meV per atom
**Spin magnetization**: 0.0 Bohr magnetons per cell

---

K3Ga | PBE-GGA | relaxed

Cell lengths 6.411, 6.411, 6.411 Å; angles 60.00, 60.00, 60.00 degrees
Site moments in Bohr magnetons follow the coordinates.
Sites, in units of the cell vectors:
K 0.250 0.250 0.250  0.01
K 0.500 0.500 0.500  0.01
K 0.750 0.750 0.750  0.01
Ga 0.000 0.000 0.000  0.15

Summary:
**ΔE_f**: 0.161 eV per atom
**Electronic total energy**: -1.42 eV per atom
**N(E_F)**: 1.330 states/eV/atom
**Spin magnetization**: 0.8 Bohr magnetons per cell

---

Ba2SbRh | PBE-GGA | relaxed

Cell lengths 9.452, 9.452, 9.452 Å; angles 26.11, 26.11, 26.11 degrees
Sites, in units of the cell vectors:
Sb 0.000 0.000 0.000
Ba 0.238 0.238 0.238
Ba 0.762 0.762 0.762
Rh 0.500 0.500 0.500

Summary:
**E_form (uncorrected)**: -3.82 kcal/mol of atoms
**Electronic total energy**: -4.00 eV per atom
**N(E_F)**: 0.947 states/eV/atom
**Spin magnetization**: 0.0 Bohr magnetons per cell

---

MgCuSCl2 | PBE-GGA | relaxed

Cell lengths 4.769, 4.769, 5.038 Å; angles 90.00, 90.00, 90.00 degrees
Sites, in units of the cell vectors:
Cl 0.000 0.500 0.000
Cl 0.500 0.000 0.000
Mg 0.000 0.000 0.000
Cu 0.500 0.500 0.500
S 0.000 0.000 0.500

Summary:
**E_form (uncorrected)**: -6.15 kcal/mol of atoms
**Electronic total energy**: -2.97 eV per atom
**N(E_F)**: 1.414 states/eV/atom
**Relative energy among the computed polymorphs**: 117 meV per atom
**Spin magnetization**: 0.0 Bohr magnetons per cell

---

NdGa2Si | PBE-GGA | relaxed

Cell lengths 4.352, 4.352, 5.729 Å; angles 67.68, 67.68, 60.00 degrees
Sites, in units of the cell vectors:
Ga 0.715 0.715 0.854
Ga 0.285 0.285 0.146
Nd 0.500 0.500 0.500
Si 0.000 0.000 0.000

Summary:
**E_form (uncorrected)**: -7.08 kcal/mol of atoms
**Electronic total energy**: -4.37 eV per atom
**N(E_F)**: 0.667 states/eV/atom
**Relative energy among the computed polymorphs**: 98 meV per atom
**Spin magnetization**: 0.0 Bohr magnetons per cell

---

BaLiSb2Te | PBE-GGA | relaxed

Cell lengths 5.169, 5.169, 5.635 Å; angles 90.00, 90.00, 90.00 degrees
Sites, in units of the cell vectors:
Sb 0.500 0.000 0.000
Sb 0.000 0.500 0.000
Ba 0.500 0.500 0.500
Te 0.000 0.000 0.500
Li 0.000 0.000 0.000

Summary:
**E_form (uncorrected)**: -10.55 kcal/mol of atoms
**Electronic total energy**: -3.50 eV per atom
**N(E_F)**: 0.736 states/eV/atom
**Relative energy among the computed polymorphs**: 0 meV per atom
**Spin magnetization**: 0.0 Bohr magnetons per cell